DFT (PBE-GGA) results for crystalline Tm8ZnCo2 at its relaxed geometry. Values from VASP.

```
&SYSTEM
  ibrav = 0, nat = 11, ntyp = 3
/
ATOMIC_SPECIES
Tm 168.93 Tm.upf
Zn 65.41 Zn.upf
Co 58.93 Co.upf
CELL_PARAMETERS angstrom
8.5174 -2.4399 0.0000
8.5174 2.4399 0.0000
-1.9817 0.0000 6.3744
ATOMIC_POSITIONS angstrom
Tm 0.0999 0.0000 1.7860
Tm 1.7748 0.0000 5.2555
Tm 4.4832 0.0000 3.3299
Tm 6.8178 0.0000 0.1766
Tm 8.2352 0.0000 6.1978
Tm 10.5698 0.0000 3.0445
Tm 13.2783 0.0000 1.1189
Tm 14.9531 0.0000 4.5885
Zn 7.5265 0.0000 3.1872
Co 2.7673 0.0000 1.3275
Co 12.2857 0.0000 5.0469
```

Properties
The calculated formation energy comes out at -0.1549 eV/atom. The value obtained for the magnetic moment is 0.000 μB/atom. The calculation puts the energy above the most stable polymorph in this dataset at 0.000 eV/atom. For the density of states at the Fermi level, the calculation gives 13.0 states/eV per cell.